Record 1
Entry from Alexandria: a relaxed structure of KTe2Au2 (GGA-PBE).

Computed properties:
**Calculated total energy**: -3.1153 eV/atom

```
KTe2Au2
1.0
-2.782 2.782 5.718
2.782 -2.782 5.718
2.782 2.782 -5.718
K Te Au
1 2 2
direct
0.000 0.000 0.000 K
0.250 0.750 0.500 Te
0.750 0.250 0.500 Te
0.288 0.288 0.000 Au
0.712 0.712 0.000 Au
```

Record 2
Entry from Alexandria: a relaxed structure of ErMgSc2Hg4 (GGA-PBE).

Computed properties:
**Energy of formation from the pure elements**: -3.3 eV per formula unit
**Calculated total energy**: -2.9111 eV/atom

```
ErMgSc2Hg4
1.0
2.501 1.444 8.283
-2.501 1.444 8.283
0.000 -2.888 8.283
Er Mg Sc Hg
1 1 2 4
direct
0.000 0.000 0.000 Er
0.500 0.500 0.500 Mg
0.246 0.246 0.246 Sc
0.754 0.754 0.754 Sc
0.125 0.125 0.125 Hg
0.377 0.377 0.377 Hg
0.623 0.623 0.623 Hg
0.875 0.875 0.875 Hg
```

Record 3
Entry from Alexandria: a relaxed structure of TaNiOs (GGA-PBE).

Computed properties:
**Energy of formation from the pure elements**: -0.5 eV per formula unit
**Calculated total energy**: -9.7747 eV/atom

```
TaNiOs
1.0
4.458 0.000 0.000
0.000 2.354 4.169
0.000 -2.354 4.169
Ta Ni Os
2 2 2
direct
0.250 0.209 0.791 Ta
0.750 0.791 0.209 Ta
0.250 0.497 0.152 Ni
0.750 0.152 0.497 Ni
0.250 0.850 0.489 Os
0.750 0.489 0.850 Os
```

Record 4
Entry from Alexandria: a relaxed structure of ZrTl2Co (GGA-PBE).

Computed properties:
**Energy of formation from the pure elements**: 1.5 eV per formula unit
**Calculated total energy**: -4.7309 eV/atom

```
ZrTl2Co
1.0
1.634 0.944 9.005
-1.634 0.944 9.005
0.000 -1.887 9.005
Zr Tl Co
1 2 1
direct
0.000 0.000 0.000 Zr
0.240 0.240 0.240 Tl
0.760 0.760 0.760 Tl
0.500 0.500 0.500 Co
```

Record 5
Entry from Alexandria: a relaxed structure of Sr2GeRh (GGA-PBE).

Computed properties:
**Energy of formation from the pure elements**: -2.2 eV per formula unit
**Calculated total energy**: -4.3714 eV/atom

```
Sr2GeRh
1.0
2.160 1.247 8.179
-2.160 1.247 8.179
0.000 -2.494 8.179
Sr Ge Rh
2 1 1
direct
0.000 0.000 0.000 Sr
0.170 0.170 0.170 Sr
0.752 0.752 0.752 Ge
0.418 0.418 0.418 Rh
```

Record 6
Entry from Alexandria: a relaxed structure of Sm3YAl (GGA-PBE).

Computed properties:
**Energy of formation from the pure elements**: 0.5 eV per formula unit
**Calculated total energy**: -4.7640 eV/atom

```
Sm3YAl
1.0
-2.278 2.294 7.752
2.278 -2.294 7.752
2.278 2.294 -7.752
Sm Y Al
3 1 1
direct
0.000 0.000 0.000 Sm
0.498 0.498 0.000 Sm
0.817 0.317 0.500 Sm
0.190 0.690 0.500 Y
0.630 0.130 0.500 Al
```

Question: calculated total energy of number 2 (ErMgSc2Hg4)?
Answer: -2.9111 eV/atom

What did the sixth record say?
Entry from Alexandria: a relaxed structure of Sm3YAl (GGA-PBE).

Computed properties:
**Energy of formation from the pure elements**: 0.5 eV per formula unit
**Calculated total energy**: -4.7640 eV/atom

```
Sm3YAl
1.0
-2.278 2.294 7.752
2.278 -2.294 7.752
2.278 2.294 -7.752
Sm Y Al
3 1 1
direct
0.000 0.000 0.000 Sm
0.498 0.498 0.000 Sm
0.817 0.317 0.500 Sm
0.190 0.690 0.500 Y
0.630 0.130 0.500 Al
```